# 1
Material: Li2HgPd
Method: DFT, PBE
State: relaxed

density	8.631	g cm⁻³
SG	P4/mmm (123)
electronic total energy	-2.729	eV per atom

```
Li2HgPd
1.0
3.2292 0.0000 0.0000
0.0000 3.2292 0.0000
0.0000 0.0000 5.9206
Li Hg Pd
2 1 1
direct
0.0000 0.0000 0.2230
0.0000 0.0000 0.7770
0.5000 0.5000 0.5000
0.5000 0.5000 0.0000
```

---

# 2
Material: Li2HgPd
Method: DFT, PBE
State: relaxed

density	8.784	g cm⁻³
SG	I4/mmm (139)
electronic total energy	-2.745	eV per atom

```
Li2HgPd
1.0
-2.1672 2.1672 3.2290
2.1672 -2.1672 3.2290
2.1672 2.1672 -3.2290
Li Hg Pd
2 1 1
direct
0.2500 0.7500 0.5000
0.7500 0.2500 0.5000
0.0000 0.0000 0.0000
0.5000 0.5000 0.0000
```

---

# 3
Material: LiHg2Pd
Method: DFT, PBE
State: relaxed

density	11.798	g cm⁻³
SG	Fm-3m (225)
electronic total energy	-2.239	eV per atom

```
LiHg2Pd
1.0
0.0000 3.3083 3.3083
3.3083 0.0000 3.3083
3.3083 3.3083 0.0000
Li Hg Pd
1 2 1
direct
0.0000 0.0000 0.0000
0.2500 0.2500 0.2500
0.7500 0.7500 0.7500
0.5000 0.5000 0.5000
```